# 1
Compound: SmZnCuNi3
Source: Alexandria
Functional: GGA-PBE
Structure: optimized geometry

abc: 5.495 5.233 6.895
angles: 112.30 90.00 90.00
Element x y z (fractional)
Ni1 0.250 0.131 0.262
Ni2 0.750 0.869 0.738
Sm1 0.750 0.311 0.623
Ni3 0.500 0.267 0.000
Ni4 0.500 0.733 0.000
Zn1 0.750 0.635 0.269
Sm2 0.250 0.689 0.377
Cu1 0.250 0.895 0.791
Ni5 0.000 0.267 0.000
Ni6 0.000 0.733 0.000
Zn2 0.250 0.365 0.731
Cu2 0.750 0.105 0.209

# 2
Compound: Sm2Zn2Cu5Ni
Source: Alexandria
Functional: GGA-PBE
Structure: optimized geometry

abc: 3.249 10.051 10.051
angles: 90.00 90.00 90.00
Element x y z (fractional)
Sm1 0.000 0.176 0.324
Zn1 0.000 0.126 0.626
Cu1 0.500 0.318 0.552
Zn2 0.000 0.874 0.374
Cu2 0.500 0.500 0.000
Sm2 0.000 0.824 0.676
Sm3 0.000 0.324 0.824
Sm4 0.000 0.676 0.176
Cu3 0.500 0.552 0.682
Zn3 0.000 0.374 0.126
Cu4 0.500 0.182 0.052
Zn4 0.000 0.626 0.874
Cu5 0.500 0.448 0.318
Cu6 0.500 0.948 0.182
Ni1 0.000 0.000 0.000
Cu7 0.500 0.818 0.948
Cu8 0.500 0.682 0.448
Ni2 0.000 0.500 0.500
Cu9 0.500 0.052 0.818
Cu10 0.500 0.000 0.500

# 3
Compound: SmZn3CuNi
Source: Alexandria
Functional: GGA-PBE
Structure: optimized geometry

abc: 5.307 6.246 6.947
angles: 116.71 90.00 90.00
Element x y z (fractional)
Zn1 0.000 0.698 0.000
Sm1 0.750 0.282 0.564
Zn2 0.000 0.302 0.000
Cu1 0.750 0.060 0.120
Zn3 0.500 0.302 0.000
Sm2 0.250 0.718 0.436
Zn4 0.500 0.698 0.000
Cu2 0.250 0.940 0.880
Ni1 0.750 0.650 0.300
Zn5 0.250 0.147 0.293
Ni2 0.250 0.350 0.700
Zn6 0.750 0.853 0.707

# 4
Compound: SmZn2CuNi2
Source: Alexandria
Functional: GGA-PBE
Structure: optimized geometry

abc: 4.461 4.461 5.250
angles: 90.00 90.00 90.00
Element x y z (fractional)
Zn1 0.500 0.500 0.752
Zn2 0.500 0.500 0.248
Ni1 0.500 0.000 0.000
Ni2 0.000 0.500 0.000
Cu1 0.000 0.000 0.000
Sm1 0.000 0.000 0.500

# 5
Compound: SmZn2CuNi4
Source: Alexandria
Functional: GGA-PBE
Structure: optimized geometry

abc: 4.084 4.084 8.315
angles: 75.78 75.78 60.00
Element x y z (fractional)
Ni1 0.403 0.403 0.792
Ni2 0.874 0.874 0.379
Zn1 0.764 0.764 0.707
Cu1 0.500 0.500 0.500
Ni3 0.597 0.597 0.208
Ni4 0.126 0.126 0.621
Sm1 0.000 0.000 0.000
Zn2 0.236 0.236 0.293

# 6
Compound: Sm2ZnCu12Ni3
Source: Alexandria
Functional: GGA-PBE
Structure: optimized geometry

abc: 6.396 6.396 6.396
angles: 83.10 83.10 83.10
Element x y z (fractional)
Cu1 0.153 0.575 0.575
Ni1 0.500 0.000 0.000
Cu2 0.199 0.724 0.199
Cu3 0.801 0.801 0.276
Ni2 0.000 0.000 0.500
Cu4 0.199 0.199 0.724
Sm1 0.746 0.746 0.746
Zn1 0.000 0.000 0.000
Cu5 0.425 0.425 0.847
Cu6 0.847 0.425 0.425
Cu7 0.276 0.801 0.801
Ni3 0.000 0.500 0.000
Sm2 0.254 0.254 0.254
Cu8 0.425 0.847 0.425
Cu9 0.575 0.153 0.575
Cu10 0.724 0.199 0.199
Cu11 0.575 0.575 0.153
Cu12 0.801 0.276 0.801

# 7
Compound: SmZnCu2Ni
Source: Alexandria
Functional: GGA-PBE
Structure: optimized geometry

abc: 3.845 3.877 6.189
angles: 108.25 108.10 90.00
Element x y z (fractional)
Zn1 0.194 0.694 0.389
Cu1 0.696 0.196 0.392
Ni1 0.835 0.835 0.669
Sm1 0.435 0.435 0.870
Cu2 0.052 0.052 0.104

# 8
Compound: Sm2Zn3CuNi12
Source: Alexandria
Functional: GGA-PBE
Structure: optimized geometry

abc: 9.255 9.255 9.255
angles: 37.88 37.88 37.88
Element x y z (fractional)
Ni1 0.070 0.649 0.070
Ni2 0.351 0.930 0.930
Cu1 0.000 0.000 0.000
Sm1 0.346 0.346 0.346
Ni3 0.930 0.351 0.930
Ni4 0.070 0.070 0.649
Zn1 0.500 0.000 0.000
Zn2 0.000 0.000 0.500
Ni5 0.578 0.188 0.578
Ni6 0.422 0.812 0.422
Ni7 0.812 0.422 0.422
Ni8 0.930 0.930 0.351
Ni9 0.188 0.578 0.578
Ni10 0.422 0.422 0.812
Zn3 0.000 0.500 0.000
Ni11 0.578 0.578 0.188
Ni12 0.649 0.070 0.070
Sm2 0.654 0.654 0.654

Calculated DFT formation energy, -0.06; -0.04; -0.12; 0.02; -0.18; 0.03; -0.23; 0.13 eV per atom (same order as the records).